Entry 1:
# SrMgRh2, relaxed, DFT GGA-PBE
data_SrMgRh2
_chemical_formula_sum 'Sr2 Mg2 Rh4'
_cell_length_a 4.093
_cell_length_b 4.093
_cell_length_c 9.288
_cell_angle_alpha 90.00
_cell_angle_beta 90.00
_cell_angle_gamma 90.00
_symmetry_space_group_name_H-M 'I -4 m 2'
_symmetry_Int_Tables_number 119
_symmetry_space_group_name_Hall 'I -4 -2'
loop_
_atom_site_label
_atom_site_type_symbol
_atom_site_fract_x
_atom_site_fract_y
_atom_site_fract_z
Sr1 Sr 0.000 0.000 0.000
Mg1 Mg 0.000 0.500 0.750
Rh1 Rh 0.000 0.000 0.500
Rh2 Rh 0.000 0.500 0.250
# - Crystal system: tetragonal
# - DOS at the Fermi energy: 5.52 states/eV per cell
# - DFT formation energy: 0.02 eV per atom
# - Total magnetic moment: 0.00 μB per formula unit
# - Total DFT energy (no corrections): -4.4704 eV per atom

Entry 2:
# PaSi2Au, relaxed, DFT GGA-PBE
data_PaSi2Au
_chemical_formula_sum 'Pa3 Si6 Au3'
_cell_length_a 5.0197
_cell_length_b 5.0197
_cell_length_c 10.5891
_cell_angle_alpha 90.00
_cell_angle_beta 90.00
_cell_angle_gamma 120.00
_symmetry_space_group_name_H-M 'R -3 m'
_symmetry_Int_Tables_number 166
_symmetry_space_group_name_Hall '-R 3 2"'
loop_
_atom_site_label
_atom_site_type_symbol
_atom_site_fract_x
_atom_site_fract_y
_atom_site_fract_z
Pa1 Pa 0.0000 0.0000 0.0000
Si1 Si 0.0000 0.0000 0.2649
Au1 Au 0.0000 0.0000 0.5000
# - Crystal system: trigonal
# - DOS at the Fermi energy: 13.41 states/eV per cell
# - Total magnetic moment: 0.00 μB per formula unit
# - Total DFT energy (no corrections): -5.9842 eV per atom

Entry 3:
# RbYSeN2, relaxed, DFT GGA-PBE
data_RbYSeN2
_chemical_formula_sum 'Rb1 Y1 Se1 N2'
_cell_length_a 4.279
_cell_length_b 4.279
_cell_length_c 5.997
_cell_angle_alpha 90.00
_cell_angle_beta 90.00
_cell_angle_gamma 90.00
_symmetry_space_group_name_H-M 'P 4/m m m'
_symmetry_Int_Tables_number 123
_symmetry_space_group_name_Hall '-P 4 2'
loop_
_atom_site_label
_atom_site_type_symbol
_atom_site_fract_x
_atom_site_fract_y
_atom_site_fract_z
Rb1 Rb 0.000 0.000 0.000
Y1 Y 0.500 0.500 0.500
Se1 Se 0.000 0.000 0.500
N1 N 0.000 0.500 0.000
# - Crystal system: tetragonal
# - DOS at the Fermi energy: 2.53 states/eV per cell
# - Total magnetic moment: 1.12 μB per formula unit
# - Total DFT energy (no corrections): -4.0031 eV per atom

Entry 4:
# Ta3Al2, relaxed, DFT GGA-PBE
data_Ta3Al2
_chemical_formula_sum 'Ta3 Al2'
_cell_length_a 4.4238
_cell_length_b 4.4238
_cell_length_c 5.4701
_cell_angle_alpha 90.00
_cell_angle_beta 90.00
_cell_angle_gamma 120.00
_symmetry_space_group_name_H-M 'P -3 m 1'
_symmetry_Int_Tables_number 164
_symmetry_space_group_name_Hall '-P 3 2"'
loop_
_atom_site_label
_atom_site_type_symbol
_atom_site_fract_x
_atom_site_fract_y
_atom_site_fract_z
Ta1 Ta 0.0000 0.0000 0.0000
Ta2 Ta 0.3333 0.6667 0.3528
Al1 Al 0.3333 0.6667 0.8418
# - Crystal system: trigonal
# - DOS at the Fermi energy: 4.21 states/eV per cell
# - DFT formation energy: 0.36 eV per atom
# - Total magnetic moment: 0.00 μB per formula unit
# - Total DFT energy (no corrections): -8.2486 eV per atom

Entry 5:
# LaMnFe2Sb, relaxed, DFT GGA-PBE
data_LaMnFe2Sb
_chemical_formula_sum 'La1 Mn1 Fe2 Sb1'
_cell_length_a 4.418
_cell_length_b 4.418
_cell_length_c 5.014
_cell_angle_alpha 90.00
_cell_angle_beta 90.00
_cell_angle_gamma 90.00
_symmetry_space_group_name_H-M 'P 4/m m m'
_symmetry_Int_Tables_number 123
_symmetry_space_group_name_Hall '-P 4 2'
loop_
_atom_site_label
_atom_site_type_symbol
_atom_site_fract_x
_atom_site_fract_y
_atom_site_fract_z
La1 La 0.000 0.000 0.000
Mn1 Mn 0.000 0.000 0.500
Fe1 Fe 0.000 0.500 0.500
Sb1 Sb 0.500 0.500 0.000
# - Crystal system: tetragonal
# - DOS at the Fermi energy: 11.09 states/eV per cell
# - Total magnetic moment: 0.00 μB per formula unit
# - Total DFT energy (no corrections): -6.2648 eV per atom

Entry 6:
# ReSbRu2, relaxed, DFT GGA-PBE
data_ReSbRu2
_chemical_formula_sum 'Re2 Sb2 Ru4'
_cell_length_a 9.233
_cell_length_b 2.931
_cell_length_c 4.735
_cell_angle_alpha 90.00
_cell_angle_beta 99.40
_cell_angle_gamma 90.00
_symmetry_space_group_name_H-M 'C 1 m 1'
_symmetry_Int_Tables_number 8
loop_
_symmetry_equiv_pos_as_xyz
'x,y,z'
'x,-y,z'
'x+1/2,y+1/2,z'
'x+1/2,-y+1/2,z'
loop_
_atom_site_label
_atom_site_type_symbol
_atom_site_fract_x
_atom_site_fract_y
_atom_site_fract_z
Re1 Re 0.000 0.000 0.000
Sb1 Sb 0.236 0.000 0.674
Ru1 Ru 0.240 0.500 0.171
Ru2 Ru 0.486 0.000 0.473
# - Crystal system: monoclinic
# - DOS at the Fermi energy: 5.19 states/eV per cell
# - Total magnetic moment: 0.00 μB per formula unit
# - Total DFT energy (no corrections): -8.5326 eV per atom

Entry 7:
# NdY4Ho2Er2, relaxed, DFT GGA-PBE
data_NdY4Ho2Er2
_chemical_formula_sum 'Nd2 Y8 Ho4 Er4'
_cell_length_a 18.640
_cell_length_b 3.591
_cell_length_c 9.539
_cell_angle_alpha 90.00
_cell_angle_beta 115.73
_cell_angle_gamma 90.00
_symmetry_space_group_name_H-M 'C 1 2/m 1'
_symmetry_Int_Tables_number 12
loop_
_symmetry_equiv_pos_as_xyz
'x,y,z'
'-x,-y,-z'
'-x,y,-z'
'x,-y,z'
'x+1/2,y+1/2,z'
'-x+1/2,-y+1/2,-z'
'-x+1/2,y+1/2,-z'
'x+1/2,-y+1/2,z'
loop_
_atom_site_label
_atom_site_type_symbol
_atom_site_fract_x
_atom_site_fract_y
_atom_site_fract_z
Nd1 Nd 0.000 0.000 0.000
Y1 Y 0.019 0.500 0.336
Y2 Y 0.186 0.000 0.334
Ho1 Ho 0.148 0.000 0.668
Er1 Er 0.168 0.500 0.999
# - Crystal system: monoclinic
# - DOS at the Fermi energy: 25.45 states/eV per cell
# - DFT formation energy: 0.00 eV per atom
# - Total magnetic moment: 0.00 μB per formula unit
# - Total DFT energy (no corrections): -5.4334 eV per atom

Entry 8:
# Li2GdAu, relaxed, DFT GGA-PBE
data_Li2GdAu
_chemical_formula_sum 'Li8 Gd4 Au4'
_cell_length_a 6.693
_cell_length_b 6.693
_cell_length_c 6.693
_cell_angle_alpha 90.00
_cell_angle_beta 90.00
_cell_angle_gamma 90.00
_symmetry_space_group_name_H-M 'F m -3 m'
_symmetry_Int_Tables_number 225
_symmetry_space_group_name_Hall '-F 4 2 3'
loop_
_atom_site_label
_atom_site_type_symbol
_atom_site_fract_x
_atom_site_fract_y
_atom_site_fract_z
Li1 Li 0.250 0.250 0.250
Gd1 Gd 0.000 0.000 0.000
Au1 Au 0.000 0.000 0.500
# - Crystal system: cubic
# - DOS at the Fermi energy: 20.20 states/eV per cell
# - DFT formation energy: -0.26 eV per atom
# - Total magnetic moment: 8.27 μB per formula unit
# - Total DFT energy (no corrections): -5.5604 eV per atom

Entry 9:
# ErPdPtAu, relaxed, DFT GGA-PBE
data_ErPdPtAu
_chemical_formula_sum 'Er4 Pd4 Pt4 Au4'
_cell_length_a 6.656
_cell_length_b 6.656
_cell_length_c 6.656
_cell_angle_alpha 90.00
_cell_angle_beta 90.00
_cell_angle_gamma 90.00
_symmetry_space_group_name_H-M 'F -4 3 m'
_symmetry_Int_Tables_number 216
_symmetry_space_group_name_Hall 'F -4 2 3'
loop_
_atom_site_label
_atom_site_type_symbol
_atom_site_fract_x
_atom_site_fract_y
_atom_site_fract_z
Er1 Er 0.000 0.000 0.000
Pd1 Pd 0.250 0.250 0.750
Pt1 Pt 0.250 0.250 0.250
Au1 Au 0.000 0.000 0.500
# - Crystal system: cubic
# - DOS at the Fermi energy: 4.06 states/eV per cell
# - DFT formation energy: -0.80 eV per atom
# - Total magnetic moment: 0.00 μB per formula unit
# - Total DFT energy (no corrections): -5.5648 eV per atom

Entry 10:
# CaReP2Os, relaxed, DFT GGA-PBE
data_CaReP2Os
_chemical_formula_sum 'Ca2 Re2 P4 Os2'
_cell_length_a 4.148
_cell_length_b 4.148
_cell_length_c 9.713
_cell_angle_alpha 90.00
_cell_angle_beta 90.00
_cell_angle_gamma 90.00
_symmetry_space_group_name_H-M 'I -4 m 2'
_symmetry_Int_Tables_number 119
_symmetry_space_group_name_Hall 'I -4 -2'
loop_
_atom_site_label
_atom_site_type_symbol
_atom_site_fract_x
_atom_site_fract_y
_atom_site_fract_z
Ca1 Ca 0.000 0.000 0.000
Re1 Re 0.000 0.500 0.750
P1 P 0.000 0.000 0.367
Os1 Os 0.000 0.500 0.250
# - Crystal system: tetragonal
# - DOS at the Fermi energy: 6.53 states/eV per cell
# - DFT formation energy: -0.56 eV per atom
# - Total magnetic moment: 0.00 μB per formula unit
# - Total DFT energy (no corrections): -7.8617 eV per atom

Entry 11:
# Dy2MgSi2Ru5, relaxed, DFT GGA-PBE
data_Dy2MgSi2Ru5
_chemical_formula_sum 'Dy4 Mg2 Si4 Ru10'
_cell_length_a 9.982
_cell_length_b 9.982
_cell_length_c 3.306
_cell_angle_alpha 90.00
_cell_angle_beta 90.00
_cell_angle_gamma 90.00
_symmetry_space_group_name_H-M 'P 4/m b m'
_symmetry_Int_Tables_number 127
_symmetry_space_group_name_Hall '-P 4 2ab'
loop_
_atom_site_label
_atom_site_type_symbol
_atom_site_fract_x
_atom_site_fract_y
_atom_site_fract_z
Dy1 Dy 0.173 0.327 0.000
Mg1 Mg 0.000 0.000 0.000
Si1 Si 0.128 0.628 0.000
Ru1 Ru 0.000 0.500 0.500
Ru2 Ru 0.070 0.789 0.500
# - Crystal system: tetragonal
# - DOS at the Fermi energy: 20.82 states/eV per cell
# - Total magnetic moment: 0.00 μB per formula unit
# - Total DFT energy (no corrections): -7.3246 eV per atom

Entry 12:
# CrMo2Rh, relaxed, DFT GGA-PBE
data_CrMo2Rh
_chemical_formula_sum 'Cr3 Mo6 Rh3'
_cell_length_a 2.7224
_cell_length_b 2.7224
_cell_length_c 27.4363
_cell_angle_alpha 90.00
_cell_angle_beta 90.00
_cell_angle_gamma 120.00
_symmetry_space_group_name_H-M 'R 3 m'
_symmetry_Int_Tables_number 160
_symmetry_space_group_name_Hall 'R 3 -2"'
loop_
_atom_site_label
_atom_site_type_symbol
_atom_site_fract_x
_atom_site_fract_y
_atom_site_fract_z
Cr1 Cr 0.0000 0.0000 0.0000
Mo1 Mo 0.0000 0.0000 0.2499
Mo2 Mo 0.0000 0.0000 0.4923
Rh1 Rh 0.0000 0.0000 0.7408
# - Crystal system: trigonal
# - DOS at the Fermi energy: 14.48 states/eV per cell
# - DFT formation energy: 0.23 eV per atom
# - Total magnetic moment: 0.72 μB per formula unit
# - Total DFT energy (no corrections): -9.4275 eV per atom